# RbCrP2F | Alexandria via LeMat-Bulk | PBE with a Hubbard U | optimized geometry
data_RbCrP2F
_chemical_formula_sum 'Rb1 Cr1 P2 F1'
_cell_length_a 4.6752
_cell_length_b 4.6752
_cell_length_c 4.7798
_cell_angle_alpha 90.00
_cell_angle_beta 90.00
_cell_angle_gamma 90.00
_symmetry_space_group_name_H-M 'P 4/m m m'
_symmetry_Int_Tables_number 123
_symmetry_space_group_name_Hall '-P 4 2'
loop_
_atom_site_label
_atom_site_type_symbol
_atom_site_fract_x
_atom_site_fract_y
_atom_site_fract_z
_atom_site_occupancy
Rb1 Rb 0.0000 0.0000 0.0000 1
Cr1 Cr 0.5000 0.5000 0.0000 1
P1 P 0.0000 0.5000 0.5000 1
F1 F 0.0000 0.0000 0.5000 1
# Total magnetization (μB per formula unit): 2.08
# VASP energy (eV per atom): -3.46